Entry 1:
# RbHf2Ti | the Alexandria database | GGA-PBE | optimized geometry
# Electronic total energy ... -5.89 eV/atom
# ΔH_f (0 K) ... 1.298 eV/atom
# Total magnetic moment ... 12.54 μB per cell
# Energy relative to the lowest polymorph listed for this composition ... 0.000 kcal/mol of atoms
data_RbHf2Ti
_chemical_formula_sum 'Rb4 Hf8 Ti4'
_cell_length_a 7.358
_cell_length_b 7.358
_cell_length_c 7.358
_cell_angle_alpha 90.00
_cell_angle_beta 90.00
_cell_angle_gamma 90.00
_symmetry_space_group_name_H-M 'F m -3 m'
_symmetry_Int_Tables_number 225
_symmetry_space_group_name_Hall '-F 4 2 3'
loop_
_atom_site_label
_atom_site_fract_x
_atom_site_fract_y
_atom_site_fract_z
Rb1 0.000 0.000 0.000
Hf1 0.250 0.250 0.250
Ti1 0.000 0.000 0.500

=====

Entry 2:
# RbHf3Ti | the Alexandria database | GGA-PBE | optimized geometry
# Electronic total energy ... -6.55 eV/atom
# ΔH_f (0 K) ... 1.194 eV/atom
# Total magnetic moment ... 0.00 μB per cell
# Energy relative to the lowest polymorph listed for this composition ... 0.000 kcal/mol of atoms
data_RbHf3Ti
_chemical_formula_sum 'Rb1 Hf3 Ti1'
_cell_length_a 5.207
_cell_length_b 5.207
_cell_length_c 5.207
_cell_angle_alpha 90.00
_cell_angle_beta 90.00
_cell_angle_gamma 90.00
_symmetry_space_group_name_H-M 'P m -3 m'
_symmetry_Int_Tables_number 221
_symmetry_space_group_name_Hall '-P 4 2 3'
loop_
_atom_site_label
_atom_site_fract_x
_atom_site_fract_y
_atom_site_fract_z
Rb1 0.000 0.000 0.000
Hf1 0.000 0.500 0.500
Ti1 0.500 0.500 0.500

=====

Entry 3:
# Rb3HfTi | the Alexandria database | GGA-PBE | optimized geometry
# Electronic total energy ... -2.23 eV/atom
# ΔH_f (0 K) ... 1.917 eV/atom
# Total magnetic moment ... 4.27 μB per cell
# Energy relative to the lowest polymorph listed for this composition ... 0.000 kcal/mol of atoms
data_Rb3HfTi
_chemical_formula_sum 'Rb3 Hf1 Ti1'
_cell_length_a 6.715
_cell_length_b 6.715
_cell_length_c 6.715
_cell_angle_alpha 90.00
_cell_angle_beta 90.00
_cell_angle_gamma 90.00
_symmetry_space_group_name_H-M 'P m -3 m'
_symmetry_Int_Tables_number 221
_symmetry_space_group_name_Hall '-P 4 2 3'
loop_
_atom_site_label
_atom_site_fract_x
_atom_site_fract_y
_atom_site_fract_z
Rb1 0.000 0.000 0.500
Hf1 0.500 0.500 0.500
Ti1 0.000 0.000 0.000